#i
# Tc3AgO

Crystalline Tc3AgO at its relaxed geometry (PBE, Alexandria).

Results
crystal system	cubic
space group	No. 221
total moment	12.33	μB per formula unit

a b c (Å): 5.0576 5.0576 5.0576
angles (deg): 90.00 90.00 90.00
Last column: magnetic moment on the atom in μB.
Sites, in units of the cell vectors:
O: 0.5000 0.5000 0.5000  0.72
Tc: 0.0000 0.5000 0.0000  3.35
Tc: 0.0000 0.0000 0.5000  3.67
Tc: 0.5000 0.0000 0.0000  3.01
Ag: 0.0000 0.0000 0.0000  0.22

#ii
# Tc3AgO

Crystalline Tc3AgO at its relaxed geometry (PBE, Alexandria).

Results
crystal system	cubic
space group	No. 221
total moment	0.00	μB per formula unit

a b c (Å): 4.0999 4.0999 4.0999
angles (deg): 90.00 90.00 90.00
Sites, in units of the cell vectors:
O: 0.0000 0.0000 0.0000
Tc: 0.0000 0.5000 0.0000
Tc: 0.0000 0.0000 0.5000
Tc: 0.5000 0.0000 0.0000
Ag: 0.5000 0.5000 0.5000

Top of the stability list: #ii, leading by 251.2 kJ/mol of atoms.

#i
# TcAgO4

Crystalline TcAgO4 at its relaxed geometry (PBE, Alexandria).

Results
crystal system	orthorhombic
space group	No. 62
total moment	0.00	μB per formula unit

a b c (Å): 7.3080 7.3549 9.2171
angles (deg): 90.00 90.00 90.00
Sites, in units of the cell vectors:
Tc: 0.7500 0.3291 0.0818
Tc: 0.2500 0.8291 0.4182
Tc: 0.7500 0.1709 0.5818
Tc: 0.2500 0.6709 0.9182
Ag: 0.2500 0.1908 0.0988
Ag: 0.7500 0.8092 0.9012
Ag: 0.2500 0.3092 0.5988
Ag: 0.7500 0.6908 0.4012
O: 0.2500 0.9412 0.2514
O: 0.7500 0.0588 0.7486
O: 0.4450 0.8081 0.9311
O: 0.2500 0.5087 0.0567
O: 0.7500 0.4412 0.2486
O: 0.0550 0.8081 0.9311
O: 0.2500 0.5588 0.7514
O: 0.9450 0.3081 0.5689
O: 0.9450 0.1919 0.0689
O: 0.7500 0.0087 0.4433
O: 0.0550 0.6919 0.4311
O: 0.7500 0.4913 0.9433
O: 0.5550 0.1919 0.0689
O: 0.2500 0.9913 0.5567
O: 0.4450 0.6919 0.4311
O: 0.5550 0.3081 0.5689

#ii
# TcAgO4

Crystalline TcAgO4 at its relaxed geometry (PBE, Alexandria).

Results
crystal system	tetragonal
space group	No. 88
total moment	0.00	μB per formula unit

a b c (Å): 7.0440 7.0440 7.0440
angles (deg): 134.70 134.70 66.00
Sites, in units of the cell vectors:
Tc: 0.5000 0.5000 0.0000
Tc: 0.2500 0.7500 0.5000
Ag: 0.0000 0.0000 0.0000
Ag: 0.7500 0.2500 0.5000
O: 0.1837 0.2855 0.6364
O: 0.2973 0.4337 0.3982
O: 0.0355 0.8991 0.6018
O: 0.6491 0.5473 0.3636
O: 0.1009 0.7027 0.1364
O: 0.7145 0.3509 0.8982
O: 0.4527 0.8163 0.1018
O: 0.5663 0.9645 0.8636

Top of the stability list: #i, leading by 1.0 kJ/mol of atoms.

#i
# Ag2Te2O7

Crystalline Ag2Te2O7 at its relaxed geometry (PBE, Alexandria).

Results
crystal system	monoclinic
space group	No. 12
total moment	0.00	μB per formula unit

a b c (Å): 5.0323 5.7787 5.0323
angles (deg): 95.53 96.60 84.47
Sites, in units of the cell vectors:
Ag: 0.7729 0.5000 0.7729
Ag: 0.2271 0.5000 0.2271
Te: 0.7231 0.9991 0.2769
Te: 0.2769 0.0009 0.7231
O: 0.9885 0.2216 0.5288
O: 0.5288 0.7784 0.9885
O: 0.0115 0.7784 0.4712
O: 0.4712 0.2216 0.0115
O: 0.0000 0.0000 0.0000
O: 0.5146 0.7894 0.4854
O: 0.4854 0.2106 0.5146

#ii
# Ag2Te2O7

Crystalline Ag2Te2O7 at its relaxed geometry (PBE, Alexandria).

Results
crystal system	monoclinic
space group	No. 12
total moment	0.00	μB per formula unit

a b c (Å): 5.0070 5.0070 5.6936
angles (deg): 89.90 89.90 83.18
Sites, in units of the cell vectors:
Ag: 0.2276 0.7724 0.5000
Ag: 0.7724 0.2276 0.5000
Te: 0.7227 0.7227 0.9999
Te: 0.2773 0.2773 0.0001
O: 0.5006 0.0000 0.7755
O: 0.0000 0.4994 0.2245
O: 0.4994 0.0000 0.2245
O: 0.0000 0.5006 0.7755
O: 0.0000 0.0000 0.0000
O: 0.4999 0.4999 0.2100
O: 0.5001 0.5001 0.7900

Top of the stability list: #i, leading by 0.6 kJ/mol of atoms.